one) Here is an optimized crystal structure of NaTe2SeI from Alexandria. Energies are from GGA-PBE.

```
NaTe2SeI
1.0
5.6250 0.0000 0.0000
0.0000 5.6250 0.0000
0.0000 0.0000 5.4680
Na Se Te I
1 1 2 1
Cartesian
0.0000 0.0000 0.0000
2.8125 2.8125 2.7340
0.0000 2.8125 0.0000
2.8125 0.0000 0.0000
0.0000 0.0000 2.7340
```

Symmetry: P4/mmm (123)

two) Here is an optimized crystal structure of NaTe2SeI from Alexandria. Energies are from GGA-PBE.

```
NaTe2SeI
1.0
-2.5709 -1.7579 4.6463
4.8671 0.1566 2.7523
-1.0439 5.5687 1.5292
Se Te I Na
1 2 1 1
Cartesian
0.0000 0.0000 0.0000
2.4335 0.0783 1.3761
-1.2854 -0.8789 2.3232
-0.5220 2.7843 0.7646
0.6261 1.9837 4.4639
```

Symmetry: P4/mmm (123)

What are the relative energies? In eV/atom: one) 0.663; two) 0.000.

one) Here is an optimized crystal structure of Na2SiI from Alexandria. Energies are from GGA-PBE.

```
Na2SiI
1.0
8.3958 0.0000 0.0000
0.0000 8.3958 0.0000
4.1979 4.1979 3.2975
I Na Si
2 4 2
Cartesian
8.3958 4.1979 1.6488
0.0000 0.0000 0.0000
2.1988 6.2968 0.8244
6.1970 2.0989 0.8244
10.4947 10.3949 2.4731
6.2968 6.3967 2.4731
4.1979 8.3958 1.6488
4.1979 4.1979 0.0000
```

Symmetry: I-42d (122)

two) Here is an optimized crystal structure of Na2SiI from Alexandria. Energies are from GGA-PBE.

```
Na2SiI
1.0
1.1335 -2.5610 4.7388
-3.4419 -3.8265 1.9523
1.4800 -5.3018 -0.0223
Na I Si
2 1 1
Cartesian
-0.6213 -8.7670 5.0016
-0.2071 -2.9223 1.6672
-0.4142 -5.8447 3.3344
0.0000 0.0000 0.0000
```

Symmetry: Fm-3m (225)

What are the relative energies? In eV/atom: one) 0.000; two) 0.084.

one) Here is an optimized crystal structure of NaSiTeI2 from Alexandria. Energies are from GGA-PBE.

```
NaSiTeI2
1.0
-0.7184 -0.7828 -5.5511
-3.9965 -3.8532 1.0605
-4.0124 4.1437 -0.0651
I Si Te Na
2 1 1 1
Cartesian
-0.3592 -0.3914 -2.7756
-1.9982 -1.9266 0.5303
-4.3636 -0.2462 -2.2778
-2.0062 2.0718 -0.0325
0.0000 0.0000 0.0000
```

Symmetry: P4/mmm (123)

two) Here is an optimized crystal structure of NaSiTeI2 from Alexandria. Energies are from GGA-PBE.

```
NaSiTeI2
1.0
-2.4984 4.1472 -3.0587
-1.5781 -3.8517 -3.9334
-4.6276 -0.8236 2.6632
Te Si I Na
1 1 2 1
Cartesian
-2.3138 -0.4118 1.3316
0.0000 0.0000 0.0000
-1.2492 2.0736 -1.5294
-0.7891 -1.9259 -1.9667
-4.3521 -0.2641 -2.1645
```

Symmetry: P4/mmm (123)

What are the relative energies? In eV/atom: one) 0.761; two) 0.000.

one) Here is an optimized crystal structure of Na2SmI5 from Alexandria. Energies are from GGA-PBE.

```
Na2SmI5
1.0
9.1247 0.0000 0.0000
0.0000 9.5308 0.0000
0.0000 0.0000 13.9287
Na I Sm
8 20 4
Cartesian
8.9192 9.3800 9.4712
4.7680 4.9163 2.5068
8.9192 4.9163 9.4712
4.3568 0.1509 11.4219
4.3568 4.6146 11.4219
0.2056 4.6146 4.4575
0.2056 0.1509 4.4575
4.7680 9.3800 2.5068
6.0541 0.4474 5.7718
1.4917 9.0834 1.1926
3.3348 7.1481 4.4195
3.0707 9.0834 8.1569
7.6331 0.4474 12.7361
1.4917 5.2128 1.1926
0.5427 2.3827 7.0823
6.1936 7.1481 9.9054
7.6331 4.3180 12.7361
1.6312 2.3827 10.9876
3.0707 5.2128 8.1569
1.2276 7.1481 11.3839
5.7900 2.3827 9.5092
4.0197 2.3827 0.1180
8.5820 7.1481 6.8464
7.8971 2.3827 2.5448
5.1051 7.1481 13.8107
7.4935 7.1481 2.9411
2.9312 2.3827 4.0233
6.0541 4.3180 5.7718
5.3409 7.1481 6.8801
3.7839 2.3827 7.0486
8.3463 7.1481 13.8444
0.7785 2.3827 0.0843
```

Symmetry: Pnma (62)

two) Here is an optimized crystal structure of Na2SmI5 from Alexandria. Energies are from GGA-PBE.

```
Na2SmI5
1.0
-5.2945 -4.9497 5.0133
6.3703 -0.6992 6.0386
-2.9365 8.6905 -2.2780
Na I Sm
2 5 1
Cartesian
-3.1053 -1.3819 3.1004
2.7361 0.7428 3.6210
-0.0882 -0.5217 3.0862
-0.8935 0.7810 7.5675
-2.8568 -3.1100 5.7073
0.4982 -3.5303 8.8313
3.2624 -0.9454 6.2128
-0.0527 0.1346 0.0767
```

Symmetry: P1 (1)

What are the relative energies? In eV/atom: one) 0.000; two) 0.045.

one) Here is an optimized crystal structure of Na3SmI6 from Alexandria. Energies are from GGA-PBE.

```
Na3SmI6
1.0
-1.9883 4.9500 -5.7746
-7.9866 -2.6629 0.4673
-2.3507 8.4595 8.0296
Na I Sm
6 12 2
Cartesian
-4.9874 1.1436 -2.6537
-1.1754 4.2297 4.0148
-5.4739 0.7958 2.1141
-2.2705 4.0502 -0.6604
-10.0551 6.6965 3.3827
-6.8517 9.9509 0.6081
-8.1427 3.0369 1.8423
-2.5549 7.0203 5.2704
-4.9667 10.7212 3.6121
-7.3589 0.0255 -0.8899
-4.1829 7.7097 0.8800
-9.3045 10.0777 2.9108
-3.0211 0.6690 -0.1885
-5.4292 4.2468 -1.4530
-9.7707 3.7264 -2.5481
-3.9133 3.6443 2.5499
-8.4123 7.1024 0.1723
-6.8964 6.4999 4.1752
-6.1628 5.3733 1.3611
0.0000 0.0000 0.0000
```

Symmetry: P2_1/c (14)

two) Here is an optimized crystal structure of Na3SmI6 from Alexandria. Energies are from GGA-PBE.

```
Na3SmI6
1.0
-7.4902 5.8347 -0.2699
-5.7042 -7.5867 0.3513
0.2437 0.4713 9.4836
I Na Sm
12 6 2
Cartesian
-6.5185 -1.4570 7.7644
-7.3499 4.8630 2.6764
-10.7722 0.0835 0.7204
-7.5344 -5.1862 1.0810
-8.9115 -2.5025 4.3843
-2.1785 -1.3641 8.8445
-5.6009 -6.1437 6.8885
-6.4323 0.1764 1.8005
-8.4833 1.5948 5.5127
-4.0393 1.2218 5.1806
-4.4675 -2.8754 4.0522
-5.4164 3.9055 8.4839
-11.0741 -0.1835 4.0440
-1.8767 -1.0972 5.5209
-8.2254 -4.1224 7.3737
-5.0926 -2.9010 0.9251
-7.8582 1.6204 8.6398
-4.7254 2.8418 2.1912
-6.4754 -0.6403 4.7825
0.0000 0.0000 0.0000
```

Symmetry: R-3 (148)

What are the relative energies? In eV/atom: one) 0.005; two) 0.000.

one) Here is an optimized crystal structure of Na2SnI6 from Alexandria. Energies are from GGA-PBE.

```
Na2SnI6
1.0
-4.6740 -3.7762 2.0437
-0.5994 -9.5723 -9.1499
5.6302 -7.0920 9.6806
I Na Sn
12 4 2
Cartesian
-0.5378 -7.8870 -5.8468
1.2729 -8.1237 7.7126
2.6688 -6.6186 3.7260
0.8946 -12.5536 8.4212
-1.8626 -9.3804 -1.8853
-0.9161 -12.3169 -5.1382
2.2194 -11.0601 4.4597
2.9096 -12.8950 -0.9513
1.5633 -14.3886 3.0653
-2.3120 -13.8219 -1.1516
-1.2066 -6.0520 -0.4909
-2.5528 -7.5456 3.5256
0.6490 -14.7402 0.1311
-3.5663 -7.9615 0.6327
-0.2922 -5.7003 2.4433
3.9230 -12.4791 1.9417
2.9346 -8.6441 5.5756
-2.5779 -11.7965 -3.0013
```

Symmetry: C2/c (15)

two) Here is an optimized crystal structure of Na2SnI6 from Alexandria. Energies are from GGA-PBE.

```
Na2SnI6
1.0
7.4652 0.0000 0.0000
0.0000 7.4652 0.0000
0.0000 0.0000 13.7155
Na I Sn
4 12 2
Cartesian
0.0000 0.0000 2.2559
3.7326 3.7326 9.1137
0.0000 0.0000 11.4596
3.7326 3.7326 4.6018
6.0565 1.4087 8.9796
5.1413 5.1413 2.1218
1.6503 5.8149 0.0000
2.3239 2.3239 2.1218
2.0823 2.0823 6.8578
1.4087 6.0565 4.7359
5.1413 5.1413 11.5937
6.0565 1.4087 4.7359
2.3239 2.3239 11.5937
1.4087 6.0565 8.9796
5.3829 5.3829 6.8578
5.8149 1.6503 0.0000
3.7326 3.7326 0.0000
0.0000 0.0000 6.8578
```

Symmetry: P4_2/mnm (136)

What are the relative energies? In eV/atom: one) 0.000; two) 0.033.

one) Here is an optimized crystal structure of NaSnTeI2 from Alexandria. Energies are from GGA-PBE.

```
NaSnTeI2
1.0
5.6751 0.0000 0.0000
0.0000 5.6751 0.0000
0.0000 0.0000 5.8402
Te I Na Sn
1 2 1 1
Cartesian
0.0000 0.0000 2.9201
0.0000 2.8376 0.0000
2.8376 0.0000 0.0000
0.0000 0.0000 0.0000
2.8376 2.8376 2.9201
```

Symmetry: P4/mmm (123)

two) Here is an optimized crystal structure of NaSnTeI2 from Alexandria. Energies are from GGA-PBE.

```
NaSnTeI2
1.0
-0.1930 5.9328 -1.5465
-5.5152 0.5079 2.6366
2.5416 1.3983 5.0471
Na I Te Sn
1 2 1 1
Cartesian
-1.5833 3.9195 3.0686
-0.0965 2.9664 -0.7732
-2.7576 0.2539 1.3183
1.2708 0.6991 2.5236
0.0000 0.0000 0.0000
```

Symmetry: P4/mmm (123)

What are the relative energies? In eV/atom: one) 0.397; two) 0.000.

one) Here is an optimized crystal structure of NaSrI from Alexandria. Energies are from GGA-PBE.

```
NaSrI
1.0
4.1143 0.0000 0.0000
0.0000 4.1143 0.0000
-2.0571 -2.0571 7.4362
Sr Na I
1 1 1
Cartesian
2.0571 2.0571 2.7447
2.0571 2.0571 7.4149
0.0000 0.0000 4.7129
```

Symmetry: I4mm (107)

two) Here is an optimized crystal structure of NaSrI from Alexandria. Energies are from GGA-PBE.

```
NaSrI
1.0
-1.3986 -0.0161 4.2089
-1.0894 -3.3364 -2.7116
6.3228 -3.7603 2.0866
Na Sr I
1 1 1
Cartesian
6.1370 -3.6498 2.0253
1.0046 -2.4908 2.6611
3.0162 -4.7326 0.9842
```

Symmetry: P3m1 (156)

What are the relative energies? In eV/atom: one) 0.034; two) 0.000.

one) Here is an optimized crystal structure of Na2Sr2I from Alexandria. Energies are from GGA-PBE.

```
Na2Sr2I
1.0
-1.8419 -5.3449 7.0694
8.8395 -1.6281 1.0722
0.4139 4.6169 3.5985
Na Sr I
4 4 2
Cartesian
0.7246 0.1366 4.5262
5.5692 0.5552 3.4319
1.8423 -2.9113 8.3082
6.6868 -2.4927 7.2139
2.6578 -1.4271 1.5254
0.2333 -3.8227 4.8777
6.7643 -3.1503 3.2639
4.3398 -5.5458 6.6162
3.4988 -3.4865 4.0708
0.0000 0.0000 0.0000
```

Symmetry: P4/mbm (127)

two) Here is an optimized crystal structure of Na2Sr2I from Alexandria. Energies are from GGA-PBE.

```
Na2Sr2I
1.0
-3.0336 0.0300 -3.1540
-2.1810 -3.1812 2.0675
-8.3635 6.0159 5.0653
Sr Na I
2 2 1
Cartesian
-3.7854 -0.0220 0.6046
-9.7928 2.8866 3.3742
-7.0022 2.2351 0.6840
-6.5759 0.6295 3.2948
0.0000 0.0000 0.0000
```

Symmetry: I4/mmm (139)

three) Here is an optimized crystal structure of Na2Sr2I from Alexandria. Energies are from GGA-PBE.

```
Na2Sr2I
1.0
-8.5710 -0.3765 0.3274
0.4288 -2.6795 8.1454
-0.1806 5.7722 1.9084
I Na Sr
2 4 4
Cartesian
0.0000 0.0000 0.0000
-4.0711 -1.5280 4.2364
-1.0129 -1.0257 3.0066
-5.3958 -0.6050 1.3191
-2.7464 -2.4510 7.1537
-7.1293 -2.0303 5.4662
-1.2314 1.0376 6.4375
-2.8775 2.3145 2.4195
-5.4453 0.4018 7.9617
-7.0914 1.6787 3.9437
```

Symmetry: P4/mbm (127)

What are the relative energies? In eV/atom: one) 0.000; two) 0.045; three) 0.075.

one) Here is an optimized crystal structure of NaSrI2 from Alexandria. Energies are from GGA-PBE.

```
NaSrI2
1.0
4.1418 0.0000 0.0000
0.0000 4.1418 0.0000
0.0000 0.0000 8.1919
Na I Sr
1 2 1
Cartesian
2.0709 2.0709 4.0959
0.0000 0.0000 1.9530
0.0000 0.0000 6.2389
2.0709 2.0709 0.0000
```

Symmetry: P4/mmm (123)

two) Here is an optimized crystal structure of NaSrI2 from Alexandria. Energies are from GGA-PBE.

```
NaSrI2
1.0
-2.9057 -2.7988 1.8985
-0.3738 -4.1818 -1.5011
5.0583 -4.8965 5.7591
I Sr Na
2 1 1
Cartesian
0.3070 -2.9118 1.4132
3.6679 -4.3158 4.4873
0.8926 -5.9399 3.0812
2.8589 -9.5448 6.0120
```

Symmetry: R3m (160)

three) Here is an optimized crystal structure of NaSrI2 from Alexandria. Energies are from GGA-PBE.

```
NaSrI2
1.0
7.5652 0.0000 0.0000
0.0000 7.5652 0.0000
3.7826 3.7826 7.2569
I Sr Na
4 2 2
Cartesian
2.0170 5.6739 1.8142
9.4564 9.3307 5.4427
5.5481 1.8913 1.8142
5.6739 5.7996 5.4427
7.5652 3.7826 3.6285
0.0000 0.0000 0.0000
3.7826 7.5652 3.6285
3.7826 3.7826 0.0000
```

Symmetry: I-42d (122)

What are the relative energies? In eV/atom: one) 0.102; two) 0.000; three) 0.162.